Below is a relaxed structure of CePaAl2, with properties calculated at the PBE level.

For the formation energy, the calculation gives -0.4 eV per formula unit. The value obtained for the total energy is -5.83 eV/atom. As for the distance to the lowest polymorph of the same formula: 0.548 eV per formula unit. As for the space-group type: R-3m, No. 166.

```
CePaAl2
1.0
3.082 0.000 0.000
1.541 2.669 0.000
1.541 0.890 10.697
Pa Al Ce
1 2 1
Cartesian
0.000 0.000 0.000
4.624 2.669 8.064
1.541 0.890 2.633
3.082 1.780 5.348
```